No. 1
The following is a DFT calculation (PBE) of crystalline Ba2CdGe4Pt3 at its relaxed geometry.

Values from the calculation:
* energy of formation: -0.6526 eV/atom
* space-group type: P-4m2, No. 115
* calculated density: 9.47 g/cm3

Cell and atoms, written as POSCAR:
```
Ba2CdGe4Pt3
1.0
4.5794 0.0000 0.0000
0.0000 4.5794 0.0000
0.0000 0.0000 10.5638
Ba Cd Ge Pt
2 1 4 3
Cartesian
0.0000 2.2897 2.5876
2.2897 0.0000 7.9762
0.0000 0.0000 5.2819
0.0000 0.0000 0.0000
0.0000 2.2897 6.7652
2.2897 0.0000 3.7987
2.2897 2.2897 0.0000
0.0000 2.2897 9.3612
2.2897 0.0000 1.2026
2.2897 2.2897 5.2819
```



No. 2
The following is a DFT calculation (PBE) of crystalline RhAuS2 at its relaxed geometry.

Values from the calculation:
* space-group type: C2/c, No. 15
* ΔE_f (raw): -0.30 eV/atom
* calculated density: 7.98 g/cm3

Cell and atoms, written as POSCAR:
```
RhAuS2
1.0
7.0711 -1.7919 0.0000
7.0711 1.7919 0.0000
-1.7911 0.0000 5.9752
Rh Au S
2 2 4
Cartesian
3.5356 0.8959 0.0000
2.6400 -0.8959 2.9876
0.0000 0.0000 0.0000
-0.8956 0.0000 2.9876
4.0792 0.9431 2.3186
9.1674 0.9431 0.6690
3.1837 -0.9431 5.3062
8.2718 -0.9431 3.6566
```



No. 3
The following is a DFT calculation (PBE) of crystalline K2SrPd2 at its relaxed geometry.

Values from the calculation:
* E above lowest polymorph: 24 meV/atom
* energy of formation: -0.0057 eV/atom
* space-group type: I4/mmm, No. 139
* calculated density: 4.04 g/cm3

Cell and atoms, written as POSCAR:
```
K2SrPd2
1.0
-2.2891 2.2891 7.4312
2.2891 -2.2891 7.4312
2.2891 2.2891 -7.4312
K Sr Pd
2 1 2
Cartesian
2.2891 0.0000 3.7156
0.0000 2.2891 3.7156
0.0000 0.0000 0.0000
0.0000 0.0000 6.1060
0.0000 0.0000 8.7563
```



No. 4
The following is a DFT calculation (PBE) of crystalline MnHg2Rh at its relaxed geometry.

Values from the calculation:
* E above lowest polymorph: 51 meV/atom
* energy of formation: 0.1397 eV/atom
* space-group type: I4/mmm, No. 139
* calculated density: 13.16 g/cm3

Cell and atoms, written as POSCAR:
```
MnHg2Rh
1.0
-2.0784 2.0784 4.0833
2.0784 -2.0784 4.0833
2.0784 2.0784 -4.0833
Mn Hg Rh
1 2 1
Cartesian
0.0000 0.0000 0.0000
2.0784 0.0000 2.0417
0.0000 2.0784 2.0417
0.0000 0.0000 4.0833
```